Record 1
ThZrW | PBE | relaxed

Cell and atoms, written as POSCAR:
```
ThZrW
1.0
-0.2957 0.7364 4.7361
1.8355 3.9969 1.9276
-2.9246 3.3964 1.7238
Th W Zr
1 1 1
Direct
0.0000 0.0000 0.0000
0.2500 0.2500 0.2500
0.5000 0.5000 0.5000
```

Output
energy of formation from the pure elements: 0.40 eV/atom
symmetry: F-43m (216)

=====

Record 2
Ba2PrInSe5 | PBE | relaxed

Cell and atoms, written as POSCAR:
```
Ba2PrInSe5
1.0
2.1862 -9.6266 0.0000
2.1862 9.6266 0.0000
0.0000 0.0000 13.4945
Ba In Pr Se
4 2 2 10
Direct
0.6159 0.3841 0.1807
0.3699 0.6301 0.3148
0.3841 0.6159 0.6807
0.6301 0.3699 0.8148
0.0510 0.9490 0.4359
0.9490 0.0510 0.9359
0.2887 0.7113 0.0168
0.7113 0.2887 0.5168
0.1399 0.8601 0.0003
0.4533 0.5467 0.0485
0.7909 0.2091 0.1632
0.9947 0.0053 0.2641
0.1841 0.8159 0.3638
0.8601 0.1399 0.5003
0.5467 0.4533 0.5485
0.2091 0.7909 0.6632
0.0053 0.9947 0.7641
0.8159 0.1841 0.8638
```

Output
symmetry: Cmc2_1 (36)

=====

Record 3
ZnCdNiHg | PBE | relaxed

Cell and atoms, written as POSCAR:
```
ZnCdNiHg
1.0
-2.6558 1.6377 3.3487
-1.7561 4.2141 -0.3258
-4.4874 0.5611 -0.7053
Cd Hg Ni Zn
1 1 1 1
Direct
0.5000 0.5000 0.5000
0.2500 0.2500 0.2500
0.7500 0.7500 0.7500
0.0000 0.0000 0.0000
```

Output
energy of formation from the pure elements: 0.16 eV/atom
symmetry: F-43m (216)

=====

Record 4
Tb2AgOs | PBE | relaxed

Cell and atoms, written as POSCAR:
```
Tb2AgOs
1.0
3.4164 0.0000 0.0000
0.0000 3.4164 0.0000
0.0000 0.0000 7.6217
Ag Os Tb
1 1 2
Direct
0.5000 0.5000 0.5000
0.5000 0.5000 0.0000
0.0000 0.0000 0.2208
0.0000 0.0000 0.7792
```

Output
energy of formation from the pure elements: -0.31 eV/atom
symmetry: P4/mmm (123)

=====

Record 5
GdHo2Cd3AgAu2 | PBE | relaxed

Cell and atoms, written as POSCAR:
```
GdHo2Cd3AgAu2
1.0
-3.2363 -1.0714 -1.7829
-1.3921 -5.2540 5.6843
-2.7735 7.3326 0.6282
Ag Au Cd Gd Ho
1 2 3 1 2
Direct
0.0000 0.0008 0.0008
0.5000 0.6673 0.3310
0.5000 0.3310 0.6673
0.5000 0.7383 0.0010
0.5000 0.2610 0.2610
0.5000 0.0010 0.7383
0.0000 0.5924 0.5924
0.0000 0.4081 0.0000
0.0000 0.0000 0.4081
```

Output
energy of formation from the pure elements: -0.58 eV/atom
symmetry: Amm2 (38)

=====

Record 6
Li4Zn2CuPt | PBE | relaxed

Cell and atoms, written as POSCAR:
```
Li4Zn2CuPt
1.0
-1.3120 -3.1385 2.5204
-0.6011 -2.4685 -3.3866
5.6319 -1.9914 0.4519
Cu Li Pt Zn
1 4 1 2
Direct
0.0000 0.0000 0.0000
0.5000 0.5000 0.0000
0.5000 0.0000 0.2493
0.0000 0.0000 0.5000
0.0000 0.5000 0.7507
0.5000 0.5000 0.5000
0.0000 0.5000 0.2490
0.5000 0.0000 0.7510
```

Output
symmetry: P-4m2 (115)

=====

Record 7
NaHfAgTe3 | PBE | relaxed

Cell and atoms, written as POSCAR:
```
NaHfAgTe3
1.0
8.2429 0.0000 0.0000
0.0000 4.1324 0.0000
-3.0186 0.0000 9.9549
Ag Hf Na Te
2 2 2 6
Direct
0.9221 0.7500 0.4008
0.0779 0.2500 0.5992
0.6947 0.2500 0.1742
0.3053 0.7500 0.8258
0.2559 0.2500 0.2956
0.7441 0.7500 0.7044
0.4294 0.7500 0.1282
0.9246 0.7500 0.1367
0.7099 0.2500 0.4510
0.2901 0.7500 0.5490
0.0754 0.2500 0.8633
0.5706 0.2500 0.8718
```

Output
energy above the most stable polymorph in this dataset: 1 meV per atom
symmetry: P2_1/m (11)

=====

Record 8
Ga5CoNi | PBE | relaxed

Cell and atoms, written as POSCAR:
```
Ga5CoNi
1.0
-1.1144 2.8151 2.8215
-3.8978 -1.3816 -0.1610
1.2114 -3.9307 4.4001
Co Ga Ni
1 5 1
Direct
0.0000 0.0000 0.5000
0.5000 0.5000 0.0000
0.5000 0.0000 0.2824
0.0000 0.5000 0.2824
0.5000 0.0000 0.7176
0.0000 0.5000 0.7176
0.0000 0.0000 0.0000
```

Output
symmetry: P4/mmm (123)

=====

Ρ for every record listed, in sequence, given in g/cm3: 10.75, 5.41, 10.71, 11.50, 10.71, 6.45, 6.78, 7.50.
Total DFT energy (no corrections) for every record listed, in sequence, given in eV per atom: -9.236, -4.823, -1.849, -6.133, -3.453, -2.832, -4.615, -4.099.